Compound: CdMoOs2
Source: the Alexandria database
Functional: PBE
Structure: relaxed

a = 2.760 Å, b = 2.760 Å, c = 9.415 Å
α = 90.00°, β = 90.00°, γ = 115.59°
Fractional positions:
Cd 0.000 0.000 0.000
Mo 0.000 0.000 0.500
Os 0.500 0.500 0.267
Os 0.500 0.500 0.733

Calculated values
Calculated formation energy (meV per atom): 469
Total DFT energy (no corrections) (eV for the cell shown): -32.332
Symmetry: Cmmm
Density (g cm⁻³): 15.1
M_tot (μB/f.u.): 0.0